First-principles (PBE with a Hubbard U) data for a relaxed Cs3NaW2O8 crystal, as listed in Alexandria via LeMat-Bulk.

The structure in CIF format:
```
data_Cs3NaW2O8
_chemical_formula_sum 'Cs3 Na1 W2 O8'
_cell_length_a 6.5042
_cell_length_b 6.5042
_cell_length_c 8.3937
_cell_angle_alpha 90.00
_cell_angle_beta 90.00
_cell_angle_gamma 120.00
_space_group_name_H-M_alt 'P -3 m 1'
_space_group_IT_number 164
_space_group_name_Hall '-P 3 2"'
loop_
_atom_site_label
_atom_site_type_symbol
_atom_site_fract_x
_atom_site_fract_y
_atom_site_fract_z
Cs1 Cs 0.0000 0.0000 0.0000
Cs2 Cs 0.3333 0.6667 0.6731
Na1 Na 0.0000 0.0000 0.5000
W1 W 0.3333 0.6667 0.2353
O1 O 0.1813 0.3626 0.3106
O2 O 0.3333 0.6667 0.0197
```

Output
DFT total energy   -6.1768 eV/atom